*A*
Below is a relaxed CaTmPdRh crystal, with properties calculated at the PBE level.

```
CaTmPdRh
1.0
-1.181 1.281 2.914
-0.532 -3.144 1.167
6.626 -0.107 2.733
Rh Pd Tm Ca
1 1 1 1
Direct
0.500 0.500 0.131 Rh
0.500 0.500 0.585 Pd
0.000 0.000 0.350 Tm
0.000 0.000 0.862 Ca
```

Properties
Density   8.40 g/cm3
Total moment   0.0 μB/f.u.
N(E_F)   1.58 states/eV/cell

***

*B*
Below is a relaxed CaTmPdRh crystal, with properties calculated at the PBE level.

```
CaTmPdRh
1.0
-4.568 1.373 -0.931
-3.718 -2.428 1.975
-2.674 2.070 3.490
Rh Ca Pd Tm
1 1 1 1
Direct
0.500 0.500 0.500 Rh
0.750 0.750 0.750 Ca
0.000 0.000 0.000 Pd
0.250 0.250 0.250 Tm
```

Properties
Density   8.56 g/cm3
Total moment   0.0 μB/f.u.
N(E_F)   1.49 states/eV/cell

***

Verdict on stability: *B* comes out at the bottom.